Zr3Br after structural relaxation. Source: Alexandria, functional GGA-PBE.

POSCAR file:
```
Zr3Br
1.0
5.416 0.000 0.000
0.000 5.775 0.000
0.000 0.000 5.922
Zr Br
6 2
Direct
0.250 0.001 0.107
0.250 0.250 0.635
0.250 0.499 0.107
0.750 0.501 0.893
0.750 0.750 0.365
0.750 0.999 0.893
0.250 0.750 0.522
0.750 0.250 0.478
```

Calculated values
Energy relative to the elements, uncorrected: 0.160 eV/atom
Calculated density: 6.34 Mg/m³
Space-group type: Pmmn (59)

=====

KRb3Tl2Cl6 after structural relaxation. Source: Alexandria, functional GGA-PBE.

POSCAR file:
```
KRb3Tl2Cl6
1.0
4.036 -6.989 0.000
4.036 6.989 0.000
-2.690 0.000 7.577
K Rb Tl Cl
1 3 2 6
Direct
0.000 0.000 0.000
0.169 0.831 0.500
0.500 0.500 0.500
0.831 0.169 0.500
0.334 0.666 0.000
0.666 0.334 0.000
0.081 0.409 0.242
0.247 0.247 0.756
0.409 0.081 0.242
0.591 0.919 0.758
0.753 0.753 0.244
0.919 0.591 0.758
```

Calculated values
Energy relative to the elements, uncorrected: -1.637 eV/atom
Calculated density: 3.56 Mg/m³
Space-group type: C2/m (12)

=====

AcEr2AlPt4 after structural relaxation. Source: Alexandria, functional GGA-PBE.

POSCAR file:
```
AcEr2AlPt4
1.0
2.334 1.348 9.176
-2.334 1.348 9.176
0.000 -2.696 9.176
Ac Er Al Pt
1 2 1 4
Direct
0.000 0.000 0.000
0.237 0.237 0.237
0.763 0.763 0.763
0.500 0.500 0.500
0.136 0.136 0.136
0.401 0.401 0.401
0.599 0.599 0.599
0.864 0.864 0.864
```

Calculated values
ΔH_f (0 K): -1.1181 eV/atom
Calculated density: 13.12 Mg/m³
Space-group type: R-3m (166)

=====

HgPb2W after structural relaxation. Source: Alexandria, functional GGA-PBE.

POSCAR file:
```
HgPb2W
1.0
3.737 -4.054 0.000
3.737 4.054 0.000
0.000 0.000 3.102
Hg Pb W
1 2 1
Direct
0.000 0.000 0.000
0.000 0.500 0.500
0.500 0.000 0.500
0.500 0.500 0.000
```

Calculated values
ΔH_f (0 K): 0.9066 eV/atom
Calculated density: 14.12 Mg/m³
Space-group type: Cmmm (65)

=====

ScTe2PdN after structural relaxation. Source: Alexandria, functional GGA-PBE.

POSCAR file:
```
ScTe2PdN
1.0
5.494 0.000 0.000
0.000 5.494 0.000
0.000 0.000 3.768
Sc Te Pd N
1 2 1 1
Direct
0.000 0.000 0.000
0.000 0.500 0.500
0.500 0.000 0.500
0.500 0.500 0.500
0.500 0.500 0.000
```

Calculated values
Energy relative to the elements, uncorrected: 0.222 eV/atom
Calculated density: 6.14 Mg/m³
Space-group type: P4/mmm (123)

=====

Rb2USbSe4 after structural relaxation. Source: Alexandria, functional GGA-PBE.

POSCAR file:
```
Rb2USbSe4
1.0
-4.158 4.158 4.437
4.158 -4.158 4.437
4.158 4.158 -4.437
Rb U Sb Se
2 1 1 4
Direct
0.000 0.000 0.000
0.750 0.250 0.500
0.250 0.750 0.500
0.500 0.500 0.000
0.242 0.134 0.551
0.309 0.758 0.892
0.583 0.691 0.449
0.866 0.417 0.108
```

Calculated values
Energy relative to the elements, uncorrected: -0.745 eV/atom
Calculated density: 4.58 Mg/m³
Space-group type: I-4 (82)